Run P
# PmErAlHg PBE-GGA relaxed
# Spin magnetization = 0.03 μB per formula unit
data_PmErAlHg
_space_group_name_H-M_alt 'F -4 3 m'
_space_group_IT_number 216
_space_group_name_Hall 'F -4 2 3'
_cell_length_a 7.432
_cell_length_b 7.432
_cell_length_c 7.432
_cell_angle_alpha 90.00
_cell_angle_beta 90.00
_cell_angle_gamma 90.00
loop_
_atom_site_label
_atom_site_fract_x
_atom_site_fract_y
_atom_site_fract_z
Pm1 0.000 0.000 0.000
Er1 0.000 0.000 0.500
Al1 0.250 0.250 0.250
Hg1 0.250 0.250 0.750

=====

Run Q
# PmErAlHg PBE-GGA relaxed
# Spin magnetization = 0.00 μB per formula unit
data_PmErAlHg
_space_group_name_H-M_alt 'P 4 m m'
_space_group_IT_number 99
_space_group_name_Hall 'P 4 -2'
_cell_length_a 3.618
_cell_length_b 3.618
_cell_length_c 7.698
_cell_angle_alpha 90.00
_cell_angle_beta 90.00
_cell_angle_gamma 90.00
loop_
_atom_site_label
_atom_site_fract_x
_atom_site_fract_y
_atom_site_fract_z
Pm1 0.000 0.000 0.000
Er1 0.000 0.000 0.521
Al1 0.500 0.500 0.752
Hg1 0.500 0.500 0.283

=====

Unit: meV per atom. Relative energies: run P 44; run Q 0.